Crystalline Li2AgW at its relaxed geometry. Source: Alexandria, functional PBE-GGA. Values from VASP.

```
&SYSTEM
  ibrav = 0, nat = 4, ntyp = 3
/
ATOMIC_SPECIES
Li 6.94 Li.upf
W 183.84 W.upf
Ag 107.87 Ag.upf
CELL_PARAMETERS angstrom
5.030 0.000 0.000
1.934 4.643 0.000
-3.482 -2.321 2.790
ATOMIC_POSITIONS crystal
Li 0.500 0.500 0.000
Li 0.000 0.000 0.000
W 0.250 0.750 0.500
Ag 0.750 0.250 0.500
```

Results
* space-group type: I4/mmm (139)
* DFT formation energy: 0.827 eV per atom
* energy above the lowest structure with this stoichiometry: 612 meV/atom